Record 1
First-principles (GGA-PBE) data for a geometry-optimized Nd4Dy2TmMg structure, as listed in Alexandria.

Results
Space group   P2/m, No. 10
Energy of formation from the pure elements   0.059 eV per formula unit
Crystal system   monoclinic

Cell: 5.0799 5.0837 11.1635 Å, 62.87 90.00 90.00°
Positions (direct):
Nd: 0.5000 0.7525 0.2470
Nd: 0.0000 0.7470 0.7531
Nd: 0.0000 0.2530 0.2469
Nd: 0.5000 0.2475 0.7530
Dy: 0.5000 0.0000 0.5000
Dy: 0.0000 0.0000 0.0000
Tm: 0.0000 0.5000 0.5000
Mg: 0.5000 0.5000 0.0000

---

Record 2
First-principles (GGA-PBE) data for a geometry-optimized Th2UCo9 structure, as listed in Alexandria.

Results
Space group   R-3m, No. 166
Energy of formation from the pure elements   -1.704 eV per formula unit
Crystal system   trigonal

Cell: 4.8929 4.8929 8.9042 Å, 74.05 74.05 60.00°
Last column: magnetic moment on the atom in μB.
Positions (direct):
U: 0.0000 0.0000 0.0000  -1.91
Co: 0.5000 0.5000 0.5000  0.44
Co: 0.4217 0.9208 0.2358  0.92
Co: 0.3333 0.3333 0.0000  1.09
Co: 0.5783 0.5783 0.7642  0.92
Co: 0.6667 0.6667 0.0000  1.09
Co: 0.0792 0.5783 0.7642  0.92
Co: 0.4217 0.4217 0.2358  0.92
Co: 0.5783 0.0792 0.7642  0.92
Co: 0.9208 0.4217 0.2358  0.92
Th: 0.8641 0.8641 0.4076  -0.26
Th: 0.1359 0.1359 0.5924  -0.26

---

Record 3
First-principles (GGA-PBE) data for a geometry-optimized MgCuIO2 structure, as listed in Alexandria.

Results
Space group   P4/mmm, No. 123
Crystal system   tetragonal
ΔE_f (raw)   -337 meV per atom

Cell: 3.8431 3.8431 6.6616 Å, 90.00 90.00 90.00°
Positions (direct):
Mg: 0.0000 0.0000 0.0000
I: 0.0000 0.0000 0.5000
O: 0.5000 0.0000 0.0000
O: 0.0000 0.5000 0.0000
Cu: 0.5000 0.5000 0.5000

---

Record 4
First-principles (GGA-PBE) data for a geometry-optimized Ag2TeAs structure, as listed in Alexandria.

Results
Space group   Pmm2, No. 25
Crystal system   orthorhombic
ΔE_f (raw)   156 meV per atom

Cell: 3.0582 4.0252 7.3806 Å, 90.00 90.00 90.00°
Positions (direct):
As: 0.0000 0.0000 0.4102
Te: 0.5000 0.5000 0.8014
Ag: 0.5000 0.5000 0.2569
Ag: 0.0000 0.0000 0.0316

---

Record 5
First-principles (GGA-PBE) data for a geometry-optimized RbH2Pb structure, as listed in Alexandria.

Results
Space group   Cm, No. 8
Crystal system   monoclinic
Final energy   -2.9086 eV/atom

Cell: 7.7688 4.8792 13.1383 Å, 90.00 124.70 90.00°
Positions (direct):
H: 0.4170 0.5000 0.6538
H: 0.1145 0.0000 0.2217
H: 0.0251 0.0000 0.1535
H: 0.0251 0.5000 0.6535
H: 0.4170 0.0000 0.1538
H: 0.1145 0.5000 0.7217
H: 0.7739 0.0000 0.6669
H: 0.7739 0.5000 0.1669
Pb: 0.5786 0.0000 0.4909
Pb: 0.5786 0.5000 0.9909
Pb: 0.3037 0.5000 0.4803
Pb: 0.3037 0.0000 0.9803
Rb: 0.3114 0.0000 0.7059
Rb: 0.8474 0.5000 0.8057
Rb: 0.3114 0.5000 0.2059
Rb: 0.8474 0.0000 0.3057

---

Record 6
First-principles (GGA-PBE) data for a geometry-optimized LaLu2Co structure, as listed in Alexandria.

Results
Space group   P4/mmm, No. 123
Energy of formation from the pure elements   -0.511 eV per formula unit
Crystal system   tetragonal

Cell: 3.3569 3.3569 8.9333 Å, 90.00 90.00 90.00°
Last column: magnetic moment on the atom in μB.
Positions (direct):
Co: 0.5000 0.5000 0.0000  -0.72
La: 0.5000 0.5000 0.5000  0.02
Lu: 0.0000 0.0000 0.1747  0.09
Lu: 0.0000 0.0000 0.8253  0.09

---

Record 7
First-principles (GGA-PBE) data for a geometry-optimized Sr2OsCl4 structure, as listed in Alexandria.

Results
Space group   I4/mmm, No. 139
Crystal system   tetragonal
ΔE_f (raw)   -992 meV per atom

Cell: 4.6426 4.6426 9.1501 Å, 75.30 75.30 90.00°
Positions (direct):
Cl: 0.7972 0.7972 0.4055
Cl: 0.0000 0.5000 0.0000
Cl: 0.2028 0.2028 0.5945
Cl: 0.5000 0.0000 0.0000
Sr: 0.3708 0.3708 0.2583
Sr: 0.6292 0.6292 0.7417
Os: 0.0000 0.0000 0.0000

---

Record 8
First-principles (GGA-PBE) data for a geometry-optimized ThCuAg structure, as listed in Alexandria.

Results
Space group   I4mm, No. 107
Energy of formation from the pure elements   -0.068 eV per formula unit
Crystal system   tetragonal

Cell: 3.4701 3.4701 5.8217 Å, 107.34 107.34 90.00°
Positions (direct):
Th: 0.9429 0.9429 0.8858
Ag: 0.6446 0.6446 0.2892
Cu: 0.2625 0.2625 0.5250

---

Record 9
First-principles (GGA-PBE) data for a geometry-optimized Sm12Dy5Sc2 structure, as listed in Alexandria.

Results
Space group   C2/m, No. 12
Energy of formation from the pure elements   3.146 eV per formula unit
Crystal system   monoclinic

Cell: 7.4001 10.2257 9.8876 Å, 64.88 90.00 111.21°
Positions (direct):
Sm: 0.0760 0.6719 0.4962
Sm: 0.4041 0.3281 0.5038
Sm: 0.5924 0.6795 0.8484
Sm: 0.4076 0.3205 0.1516
Sm: 0.9128 0.3205 0.1516
Sm: 0.9969 0.9938 0.2024
Sm: 0.5959 0.6719 0.4962
Sm: 0.0031 0.0062 0.7976
Sm: 0.4935 0.9870 0.3195
Sm: 0.5065 0.0130 0.6805
Sm: 0.9240 0.3281 0.5038
Sm: 0.0872 0.6795 0.8484
Dy: 0.8252 0.6505 0.1729
Dy: 0.1748 0.3495 0.8271
Dy: 0.6762 0.3524 0.8097
Dy: 0.3238 0.6476 0.1903
Dy: 0.0000 0.0000 0.5000
Sc: 0.6945 0.0000 0.0000
Sc: 0.3055 0.0000 0.0000

---

Record 10
First-principles (GGA-PBE) data for a geometry-optimized Ce4BI5 structure, as listed in Alexandria.

Results
Space group   C2/m, No. 12
Crystal system   monoclinic
ΔE_f (raw)   -965 meV per atom

Cell: 4.1380 8.9234 9.8533 Å, 102.61 102.12 90.00°
Last column: magnetic moment on the atom in μB.
Positions (direct):
Ce: 0.3586 0.9291 0.7172  1.00
Ce: 0.0019 0.8022 0.0038  0.82
Ce: 0.9981 0.1978 0.9962  0.82
Ce: 0.6414 0.0709 0.2828  1.00
B: 0.5000 0.0000 0.0000  -0.06
I: 0.5000 0.5000 0.0000  -0.01
I: 0.8342 0.6517 0.6684  -0.01
I: 0.8268 0.1829 0.6535  -0.01
I: 0.1658 0.3483 0.3316  -0.01
I: 0.1732 0.8171 0.3465  -0.01

---

Record 11
First-principles (GGA-PBE) data for a geometry-optimized La4TlNi structure, as listed in Alexandria.

Results
Space group   F-43m, No. 216
Energy of formation from the pure elements   2.805 eV per formula unit
Crystal system   cubic

Cell: 6.4019 6.4019 6.4019 Å, 60.00 60.00 60.00°
Positions (direct):
La: 0.3752 0.8744 0.3752
La: 0.8744 0.3752 0.3752
La: 0.3752 0.3752 0.8744
La: 0.3752 0.3752 0.3752
Ni: 0.7500 0.7500 0.7500
Tl: 0.0000 0.0000 0.0000

---

Record 12
First-principles (GGA-PBE) data for a geometry-optimized Sr3CaI8 structure, as listed in Alexandria.

Results
Space group   C2/m, No. 12
Crystal system   monoclinic
ΔE_f (raw)   -1684 meV per atom

Cell: 9.5499 9.5474 9.4452 Å, 120.95 90.00 120.01°
Positions (direct):
Sr: 0.0000 0.5000 0.0000
Sr: 0.5000 0.5000 0.0000
Sr: 0.5000 0.0000 0.0000
I: 0.7578 0.9972 0.2324
I: 0.2394 0.9972 0.2324
I: 0.7476 0.4952 0.2384
I: 0.2422 0.0028 0.7676
I: 0.7606 0.0028 0.7676
I: 0.7608 0.5215 0.7677
I: 0.2524 0.5048 0.7616
I: 0.2392 0.4784 0.2323
Ca: 0.0000 0.0000 0.0000

---

Which formula does entry 9 have?
Sm12Dy5Sc2